First-principles (PBE-GGA) data for crystalline Np4P3S at its relaxed geometry, as listed in Alexandria.

As for the formation energy without anion corrections: -1.006 eV/atom. The calculation puts the spin magnetization at 1.948 μB/atom.

```
data_Np4P3S
_chemical_formula_sum 'Np8 P6 S2'
_symmetry_space_group_name_H-M 'P 1 2/c 1'
_symmetry_Int_Tables_number 13
_symmetry_space_group_name_Hall '-P 2yc'
_cell_length_a 6.844
_cell_length_b 7.927
_cell_length_c 6.858
_cell_angle_alpha 90.00
_cell_angle_beta 109.55
_cell_angle_gamma 90.00
loop_
_atom_site_label
_atom_site_type_symbol
_atom_site_fract_x
_atom_site_fract_y
_atom_site_fract_z
Np1 Np 0.250 0.125 0.000
Np2 Np 0.250 0.375 0.500
P1 P 0.000 0.125 0.250
P2 P 0.000 0.374 0.750
P3 P 0.500 0.374 0.250
S1 S 0.500 0.125 0.750
```

First-principles (PBE-GGA) data for crystalline Np2PS at its relaxed geometry, as listed in Alexandria.

As for the formation energy without anion corrections: -0.966 eV/atom. The calculation puts the spin magnetization at 0.035 μB/atom. As for the excess energy over the best structure of this formula in the dataset: 168 meV per atom.

```
data_Np2PS
_chemical_formula_sum 'Np6 P3 S3'
_symmetry_space_group_name_H-M 'R 3 m'
_symmetry_Int_Tables_number 160
_symmetry_space_group_name_Hall 'R 3 -2"'
_cell_length_a 3.7307
_cell_length_b 3.7307
_cell_length_c 21.5410
_cell_angle_alpha 90.00
_cell_angle_beta 90.00
_cell_angle_gamma 120.00
loop_
_atom_site_label
_atom_site_type_symbol
_atom_site_fract_x
_atom_site_fract_y
_atom_site_fract_z
Np1 Np 0.0000 0.0000 0.0000
Np2 Np 0.0000 0.0000 0.1742
P1 P 0.0000 0.0000 0.5862
S1 S 0.0000 0.0000 0.7556
```

First-principles (PBE-GGA) data for crystalline NpPS at its relaxed geometry, as listed in Alexandria.

As for the formation energy without anion corrections: -0.475 eV/atom. The calculation puts the spin magnetization at 1.140 μB/atom.

```
data_NpPS
_chemical_formula_sum 'Np1 P1 S1'
_symmetry_space_group_name_H-M 'P -6 m 2'
_symmetry_Int_Tables_number 187
_symmetry_space_group_name_Hall 'P -6 2'
_cell_length_a 4.2310
_cell_length_b 4.2310
_cell_length_c 3.4365
_cell_angle_alpha 90.00
_cell_angle_beta 90.00
_cell_angle_gamma 120.00
loop_
_atom_site_label
_atom_site_type_symbol
_atom_site_fract_x
_atom_site_fract_y
_atom_site_fract_z
Np1 Np 0.0000 0.0000 0.0000
P1 P 0.3333 0.6667 0.5000
S1 S 0.6667 0.3333 0.5000
```